A geometry-optimized CuC5BrN4 structure. Source: OQMD via LeMat-Bulk, functional PBE-GGA. Values from VASP.

Cell and atoms, written as Quantum ESPRESSO input:
```
&SYSTEM
  ibrav = 0, nat = 44, ntyp = 4
/
ATOMIC_SPECIES
Cu 63.55 Cu.upf
C 12.01 C.upf
Br 79.90 Br.upf
N 14.01 N.upf
ATOMIC_POSITIONS angstrom
Cu 2.751 0.000 0.274
Cu 2.751 4.239 4.641
Cu 8.254 0.000 9.556
Cu 8.254 4.239 5.189
C 0.373 1.120 8.551
C 0.373 3.119 6.194
C 0.741 5.901 2.990
C 0.741 6.815 1.925
C 2.743 2.119 2.458
C 2.760 6.358 2.458
C 4.762 1.662 1.925
C 4.762 2.577 2.990
C 5.130 5.358 6.194
C 5.130 7.357 8.551
C 5.876 1.120 1.279
C 5.876 3.119 3.636
C 6.244 5.901 6.840
C 6.244 6.815 7.905
C 8.246 2.119 7.373
C 8.263 6.358 7.373
C 10.265 1.662 7.905
C 10.265 2.577 6.840
C 10.633 5.358 3.636
C 10.633 7.357 1.279
Br 0.869 2.119 2.458
Br 4.633 6.358 2.458
Br 6.372 2.119 7.373
Br 10.136 6.358 7.373
N 1.322 0.692 9.085
N 1.322 3.546 5.660
N 2.044 5.617 3.322
N 2.044 7.099 1.594
N 3.459 1.378 1.594
N 3.459 2.860 3.322
N 4.181 4.931 5.660
N 4.181 7.785 9.085
N 6.825 0.692 0.745
N 6.825 3.546 4.170
N 7.547 5.617 6.509
N 7.547 7.099 8.237
N 8.961 1.378 8.237
N 8.961 2.860 6.509
N 9.683 4.931 4.170
N 9.683 7.785 0.745
CELL_PARAMETERS angstrom
11.006 0.000 0.000
0.000 8.477 0.000
0.000 0.000 9.830
```

Results
- Final energy: -0.54753 Ry/atom



A geometry-optimized Dy2Er2CBr5 structure. Source: OQMD via LeMat-Bulk, functional PBE-GGA. Values from VASP.

Cell and atoms, written as Quantum ESPRESSO input:
```
&SYSTEM
  ibrav = 0, nat = 10, ntyp = 4
/
ATOMIC_SPECIES
Dy 162.50 Dy.upf
Er 167.26 Er.upf
C 12.01 C.upf
Br 79.90 Br.upf
ATOMIC_POSITIONS angstrom
Dy 2.327 0.000 0.568
Dy 13.513 0.000 7.303
Er 8.461 0.000 1.568
Er 7.379 0.000 6.303
C 0.000 0.000 0.000
Br -0.917 0.000 3.936
Br 5.526 0.000 1.378
Br 4.746 0.000 5.178
Br 11.094 0.000 2.694
Br 10.314 0.000 6.493
CELL_PARAMETERS angstrom
8.837 -1.891 0.000
8.837 1.891 0.000
-1.834 0.000 7.871
```

Results
- Final energy: -0.36832 Ry/atom



A geometry-optimized DyErCBr2 structure. Source: OQMD via LeMat-Bulk, functional PBE-GGA. Values from VASP.

Cell and atoms, written as Quantum ESPRESSO input:
```
&SYSTEM
  ibrav = 0, nat = 5, ntyp = 4
/
ATOMIC_SPECIES
Dy 162.50 Dy.upf
Er 167.26 Er.upf
C 12.01 C.upf
Br 79.90 Br.upf
ATOMIC_POSITIONS angstrom
Dy 0.000 0.000 0.000
Er 1.871 1.080 7.846
C 0.000 2.161 9.158
Br 0.000 0.000 5.934
Br 1.871 1.080 1.948
CELL_PARAMETERS angstrom
3.742 0.000 0.000
-1.871 3.241 0.000
0.000 0.000 10.500
```

Results
- Final energy: -0.41519 Ry/atom